Density functional theory data (PBE) for a geometry-optimized PrSmGaPt structure.

Summary:
The calculation puts the density of states at the Fermi level at 3.59 states/eV/f.u. The calculation puts the distance to the lowest polymorph of the same formula at 114 meV per atom. The formation energy is -71 kJ per mole of atoms. Its calculated total energy is -86.0 eV per cell. The calculation puts the calculated density at 9.44 g cm⁻³.

Cell lengths 7.3140, 7.3140, 7.3140 Å; angles 90.00, 90.00, 90.00 degrees
Space group F-43m (No. 216)
Asymmetric unit:
Pr1 0.0000 0.0000 0.0000
Sm1 0.0000 0.0000 0.5000
Ga1 0.2500 0.2500 0.2500
Pt1 0.2500 0.2500 0.7500

=====

Density functional theory data (PBE) for a geometry-optimized Pm4Pb3N structure.

Summary:
The calculation puts the density of states at the Fermi level at 5.87 states/eV/f.u. The value obtained for the uncorrected formation energy is -0.5466 eV/atom. Its calculated total energy is -85.7 eV per cell. The calculation puts the calculated density at 8.64 g cm⁻³.

Cell lengths 10.4412, 12.1243, 3.6923 Å; angles 90.00, 90.00, 90.00 degrees
Space group Cmmm (No. 65)
Asymmetric unit:
Pm1 0.0000 0.2229 0.0000
Pm2 0.1629 0.0000 0.5000
Pb1 0.0000 0.5000 0.0000
Pb2 0.2500 0.2500 0.5000
N1 0.0000 0.0000 0.0000

=====

Density functional theory data (PBE) for a geometry-optimized CdSbBr2 structure.

Summary:
The calculation puts the density of states at the Fermi level at 3.02 states/eV/f.u. The value obtained for the uncorrected formation energy is 0.1093 eV/atom. The calculation puts the distance to the lowest polymorph of the same formula at 451 meV per atom. Its calculated total energy is -15.9 eV per cell. The calculation puts the calculated density at 6.06 g cm⁻³.

Cell lengths 4.8634, 4.8634, 9.1337 Å; angles 90.00, 90.00, 90.00 degrees
Space group I4/mmm (No. 139)
Asymmetric unit:
Cd1 0.0000 0.0000 0.0000
Sb1 0.0000 0.0000 0.5000
Br1 0.0000 0.5000 0.2500

=====

Density functional theory data (PBE) for a geometry-optimized ZrGaN3 structure.

Summary:
The calculation puts the density of states at the Fermi level at 3.83 states/eV/f.u. The value obtained for the uncorrected formation energy is 0.7904 eV/atom. Its calculated total energy is -32.6 eV per cell. The calculation puts the calculated density at 4.33 g cm⁻³.

Cell lengths 4.2708, 4.2708, 4.2708 Å; angles 90.00, 90.00, 90.00 degrees
Space group Pm-3m (No. 221)
Asymmetric unit:
Zr1 0.0000 0.0000 0.0000
Ga1 0.5000 0.5000 0.5000
N1 0.0000 0.0000 0.5000

=====

Density functional theory data (PBE) for a geometry-optimized Cs2RbCl2 structure.

Summary:
The calculation puts the density of states at the Fermi level at 2.27 states/eV/f.u. The value obtained for the uncorrected formation energy is -1.3942 eV/atom. The calculation puts the distance to the lowest polymorph of the same formula at 49 meV per atom. Its calculated total energy is -26.7 eV per cell. The calculation puts the calculated density at 2.10 g cm⁻³.

Cell lengths 6.3739, 6.3739, 16.4457 Å; angles 90.00, 90.00, 90.00 degrees
Space group I4/mmm (No. 139)
Asymmetric unit:
Cs1 0.0000 0.0000 0.1820
Rb1 0.0000 0.0000 0.5000
Cl1 0.0000 0.5000 0.2500

=====

Density functional theory data (PBE) for a geometry-optimized LiSb2Au2 structure.

Summary:
The calculation puts the density of states at the Fermi level at 2.25 states/eV/f.u. The value obtained for the uncorrected formation energy is -0.1697 eV/atom. The calculation puts the distance to the lowest polymorph of the same formula at 89 meV per atom. Its calculated total energy is -35.1 eV per cell. The calculation puts the calculated density at 9.69 g cm⁻³.

Cell lengths 7.3971, 7.3971, 4.0375 Å; angles 90.00, 90.00, 90.00 degrees
Space group P4/mbm (No. 127)
Asymmetric unit:
Li1 0.0000 0.0000 0.0000
Sb1 0.1734 0.3266 0.5000
Au1 0.1380 0.6380 0.0000

=====

Density functional theory data (PBE) for a geometry-optimized AcNd8Sm3 structure.

Summary:
The calculation puts the density of states at the Fermi level at 17.31 states/eV/f.u. The formation energy is 30 kJ per mole of atoms. Its calculated total energy is -105.3 eV per cell. The calculation puts the calculated density at 6.62 g cm⁻³.

Cell lengths 6.5996, 11.7852, 11.8222 Å; angles 90.00, 90.00, 90.00 degrees
Space group Immm (No. 71)
Asymmetric unit:
Ac1 0.0000 0.0000 0.0000
Nd1 0.0000 0.1733 0.2535
Nd2 0.2345 0.2696 0.0000
Sm1 0.0000 0.0000 0.5000
Sm2 0.0000 0.5000 0.2294

=====

Density functional theory data (PBE) for a geometry-optimized Na3TiV2S6 structure.

Summary:
The calculation puts the density of states at the Fermi level at 3.63 states/eV/f.u. The value obtained for the uncorrected formation energy is -1.1193 eV/atom. Its calculated total energy is -136.6 eV per cell. The calculation puts the calculated density at 3.23 g cm⁻³.

Cell lengths 6.0071, 10.4194, 7.0270 Å; angles 90.00, 106.12, 90.00 degrees
Space group C2/m (No. 12)
Asymmetric unit:
Na1 0.0000 0.0000 0.0000
Na2 0.0000 0.3272 0.0000
Ti1 0.0000 0.5000 0.5000
V1 0.0000 0.1352 0.5000
S1 0.2360 0.3284 0.6984
S2 0.2453 0.0000 0.7246

=====

Density functional theory data (PBE) for a geometry-optimized ZrOs3F structure.

Summary:
The calculation puts the density of states at the Fermi level at 5.41 states/eV/f.u. The value obtained for the uncorrected formation energy is 2.5835 eV/atom. The calculation puts the distance to the lowest polymorph of the same formula at 1680 meV per atom. Its calculated total energy is -31.2 eV per cell. The calculation puts the calculated density at 9.50 g cm⁻³.

Cell lengths 4.9195, 4.9195, 4.9195 Å; angles 90.00, 90.00, 90.00 degrees
Space group Pm-3m (No. 221)
Asymmetric unit:
Zr1 0.0000 0.0000 0.0000
Os1 0.0000 0.0000 0.5000
F1 0.5000 0.5000 0.5000

=====

Density functional theory data (PBE) for a geometry-optimized Cu2RuCl structure.

Summary:
The calculation puts the density of states at the Fermi level at 1.74 states/eV/f.u. The value obtained for the uncorrected formation energy is 0.7392 eV/atom. The calculation puts the distance to the lowest polymorph of the same formula at 424 meV per atom. Its calculated total energy is -65.4 eV per cell. The calculation puts the calculated density at 7.57 g cm⁻³.

Cell lengths 6.1395, 6.1395, 6.1395 Å; angles 90.00, 90.00, 90.00 degrees
Space group F-43m (No. 216)
Asymmetric unit:
Cu1 0.0000 0.0000 0.0000
Cu2 0.2500 0.2500 0.2500
Ru1 0.0000 0.0000 0.5000
Cl1 0.2500 0.2500 0.7500

=====

Density functional theory data (PBE) for a geometry-optimized Pr8SmY6 structure.

Summary:
The calculation puts the density of states at the Fermi level at 23.47 states/eV/f.u. The calculation puts the distance to the lowest polymorph of the same formula at 0 meV per atom. The formation energy is 11 kJ per mole of atoms. Its calculated total energy is -240.1 eV per cell. The calculation puts the calculated density at 5.77 g cm⁻³.

Cell lengths 9.2397, 9.2397, 21.1573 Å; angles 90.00, 90.00, 120.00 degrees
Space group R-3 (No. 148, hexagonal axes)
Asymmetric unit:
Pr1 0.0000 0.0000 0.0777
Pr2 0.0802 0.5589 0.3062
Sm1 0.0000 0.0000 0.5000
Y1 0.0439 0.2431 0.2055

=====

Density functional theory data (PBE) for a geometry-optimized DyTm2PaSb4 structure.

Summary:
The calculation puts the density of states at the Fermi level at 6.49 states/eV/f.u. The value obtained for the uncorrected formation energy is -0.9223 eV/atom. Its calculated total energy is -46.9 eV per cell. The calculation puts the calculated density at 8.66 g cm⁻³.

Cell lengths 7.5352, 4.3521, 7.5491 Å; angles 90.00, 109.35, 90.00 degrees
Space group P2/m (No. 10)
Asymmetric unit:
Dy1 0.0000 0.0000 0.0000
Tm1 0.5000 0.0000 0.5000
Tm2 0.5000 0.5000 0.0000
Pa1 0.0000 0.5000 0.5000
Sb1 0.2530 0.5000 0.2517
Sb2 0.2542 0.0000 0.7519

=====

Density functional theory data (PBE) for a geometry-optimized Al2V4Cr structure.

Summary:
The calculation puts the density of states at the Fermi level at 7.96 states/eV/f.u. The calculation puts the distance to the lowest polymorph of the same formula at 714 meV per atom. The formation energy is 67 kJ per mole of atoms. Its calculated total energy is -97.5 eV per cell. The calculation puts the calculated density at 4.39 g cm⁻³.

Cell lengths 4.1529, 4.1529, 13.5877 Å; angles 90.00, 90.00, 90.00 degrees
Space group I4/mmm (No. 139)
Asymmetric unit:
Al1 0.0000 0.0000 0.1367
V1 0.0000 0.0000 0.3301
V2 0.0000 0.5000 0.0000
Cr1 0.0000 0.0000 0.5000

=====

Density functional theory data (PBE) for a geometry-optimized TaAsPd6 structure.

Summary:
The calculation puts the density of states at the Fermi level at 2.16 states/eV/f.u. The formation energy is -29 kJ per mole of atoms. Its calculated total energy is -50.0 eV per cell. The calculation puts the calculated density at 11.55 g cm⁻³.

Cell lengths 5.0541, 5.0595, 5.0793 Å; angles 94.48, 94.33, 94.82 degrees
Space group P-1 (No. 2)
Asymmetric unit:
Ta1 0.0000 0.0000 0.0000
As1 0.5000 0.5000 0.5000
Pd1 0.0715 0.2558 0.5404
Pd2 0.2558 0.5385 0.0740
Pd3 0.4627 0.9280 0.7445

=====

Density functional theory data (PBE) for a geometry-optimized Cs2LiDy3F12 structure.

Summary:
The calculation puts the density of states at the Fermi level at 0.00 states/eV/f.u. The value obtained for the uncorrected formation energy is -3.6564 eV/atom. Its calculated total energy is -317.1 eV per cell. The calculation puts the calculated density at 4.38 g cm⁻³.

Cell lengths 8.2131, 8.2131, 19.2562 Å; angles 90.00, 90.00, 120.00 degrees
Space group R-3m (No. 166, hexagonal axes)
Asymmetric unit:
Cs1 0.0000 0.0000 0.1479
Li1 0.0000 0.0000 0.5000
Dy1 0.0000 0.5000 0.0000
F1 0.0795 0.5397 0.1065
F2 0.0796 0.5398 0.3619

=====

Density functional theory data (PBE) for a geometry-optimized B5C7 structure.

Summary:
The calculation puts the density of states at the Fermi level at 1.13 states/eV/f.u. The calculation puts the distance to the lowest polymorph of the same formula at 123 meV per atom. The formation energy is 37 kJ per mole of atoms. Its calculated total energy is -93.4 eV per cell. The calculation puts the calculated density at 2.88 g cm⁻³.

Cell lengths 3.7920, 2.5882, 8.1290 Å; angles 90.00, 91.54, 90.00 degrees
Space group Pm (No. 6)
Asymmetric unit:
B1 0.0000 0.0000 0.0000
B2 0.0102 0.0000 0.2889
B3 0.2741 0.0000 0.5288
B4 0.5332 0.5000 0.4609
B5 0.7686 0.5000 0.6671
C1 0.0144 0.0000 0.6732
C2 0.2858 0.0000 0.8150
C3 0.2887 0.0000 0.1469
C4 0.4964 0.5000 0.8379
C5 0.5172 0.5000 0.1489
C6 0.7440 0.5000 0.9854
C7 0.7662 0.5000 0.3069

=====

Density functional theory data (PBE) for a geometry-optimized PmCo4Sn structure.

Summary:
The calculation puts the density of states at the Fermi level at 10.24 states/eV/f.u. The formation energy is -6 kJ per mole of atoms. Its calculated total energy is -150.2 eV per cell. The calculation puts the calculated density at 9.06 g cm⁻³.

Cell lengths 7.1545, 7.1545, 7.1545 Å; angles 90.00, 90.00, 90.00 degrees
Space group F-43m (No. 216)
Asymmetric unit:
Pm1 0.0000 0.0000 0.0000
Co1 0.1243 0.1243 0.3757
Sn1 0.2500 0.2500 0.7500

=====

Density functional theory data (PBE) for a geometry-optimized PmNd6Tm2 structure.

Summary:
The calculation puts the density of states at the Fermi level at 12.52 states/eV/f.u. The calculation puts the distance to the lowest polymorph of the same formula at 0 meV per atom. The formation energy is 6 kJ per mole of atoms. Its calculated total energy is -167.1 eV per cell. The calculation puts the calculated density at 7.36 g cm⁻³.

Cell lengths 22.0433, 9.9244, 5.7630 Å; angles 90.00, 105.13, 90.00 degrees
Space group C2/c (No. 15)
Asymmetric unit:
Pm1 0.0000 0.2496 0.2500
Nd1 0.0857 0.0835 0.8341
Nd2 0.0856 0.4174 0.8373
Nd3 0.1699 0.2498 0.4196
Tm1 0.2501 0.0831 0.0011

=====

Density functional theory data (PBE) for a geometry-optimized Ta4CuB structure.

Summary:
The calculation puts the density of states at the Fermi level at 4.01 states/eV/f.u. The formation energy is -24 kJ per mole of atoms. Its calculated total energy is -119.4 eV per cell. The calculation puts the calculated density at 14.72 g cm⁻³.

Cell lengths 6.0298, 6.0298, 4.9517 Å; angles 90.00, 90.00, 90.00 degrees
Space group P4/mcc (No. 124)
Asymmetric unit:
Ta1 0.1424 0.3203 0.0000
Cu1 0.5000 0.5000 0.2500
B1 0.0000 0.0000 0.2500

=====

Density functional theory data (PBE) for a geometry-optimized Ac2SmTe2As2 structure.

Summary:
The calculation puts the density of states at the Fermi level at 3.54 states/eV/f.u. The value obtained for the uncorrected formation energy is -1.1808 eV/atom. Its calculated total energy is -73.6 eV per cell. The calculation puts the calculated density at 6.85 g cm⁻³.

Cell lengths 5.3781, 5.3781, 16.9300 Å; angles 90.00, 90.00, 90.00 degrees
Space group I4/mmm (No. 139)
Asymmetric unit:
Ac1 0.0000 0.0000 0.1221
Sm1 0.0000 0.0000 0.5000
Te1 0.0000 0.0000 0.3164
As1 0.0000 0.5000 0.0000

=====

Density functional theory data (PBE) for a geometry-optimized TaAlZn structure.

Summary:
The calculation puts the density of states at the Fermi level at 2.62 states/eV/f.u. The formation energy is 2 kJ per mole of atoms. Its calculated total energy is -16.8 eV per cell. The calculation puts the calculated density at 9.03 g cm⁻³.

Cell lengths 2.8992, 2.8992, 6.9025 Å; angles 90.00, 90.00, 120.00 degrees
Space group P3m1 (No. 156)
Asymmetric unit:
Ta1 0.0000 0.0000 0.0000
Al1 0.3333 0.6667 0.6657
Zn1 0.6667 0.3333 0.3408

=====

Density functional theory data (PBE) for a geometry-optimized Te2PO2 structure.

Summary:
The calculation puts the density of states at the Fermi level at 2.28 states/eV/f.u. The value obtained for the uncorrected formation energy is 0.0216 eV/atom. The calculation puts the distance to the lowest polymorph of the same formula at 56 meV per atom. Its calculated total energy is -43.0 eV per cell. The calculation puts the calculated density at 6.49 g cm⁻³.

Cell lengths 3.6885, 3.6885, 11.9684 Å; angles 90.00, 90.00, 90.00 degrees
Space group I4/mmm (No. 139)
Asymmetric unit:
Te1 0.0000 0.0000 0.1347
P1 0.0000 0.0000 0.5000
O1 0.0000 0.5000 0.2500

=====

Density functional theory data (PBE) for a geometry-optimized LaTb2Pm6Pr3 structure.

Summary:
The calculation puts the density of states at the Fermi level at 18.78 states/eV/f.u. The formation energy is 2 kJ per mole of atoms. Its calculated total energy is -113.7 eV per cell. The calculation puts the calculated density at 6.96 g cm⁻³.

Cell lengths 6.3450, 10.9878, 12.1666 Å; angles 90.00, 100.06, 90.00 degrees
Space group C2/m (No. 12)
Asymmetric unit:
La1 0.0000 0.0000 0.0000
Tb1 0.0000 0.3335 0.0000
Pm1 0.2487 0.5000 0.2482
Pm2 0.2502 0.1672 0.2478
Pr1 0.0000 0.1672 0.5000
Pr2 0.0000 0.5000 0.5000